! PBE-GGA TaRe2Se, optimized geometry; values from VASP
&SYSTEM
  ibrav = 0, nat = 4, ntyp = 3
/
ATOMIC_SPECIES
Ta 180.95 Ta.upf
Re 186.21 Re.upf
Se 78.96 Se.upf
CELL_PARAMETERS angstrom
3.037 0.000 0.000
0.000 4.537 0.000
0.000 0.000 4.639
ATOMIC_POSITIONS angstrom
Ta 0.000 0.000 0.000
Re 0.000 2.268 2.319
Re 1.518 0.000 2.319
Se 1.518 2.268 0.000
! - Space-group type: Pmmm
! - Electronic total energy: -9.73 eV per atom
! - Size of the total moment: 0.000 μB per atom
! - Formation energy (no corrections): 0.332 eV/atom
! - N(E_F): 3.75 states/eV per cell